Record 1
DFT (GGA-PBE) results for a relaxed HoErTlNi2 crystal.

The structure in extended XYZ format:
```
5
Lattice="-2.342 1.220 2.529 -3.177 -6.728 0.303 -0.366 -6.826 2.954" Properties=species:S:1:pos:R:3 pbc="T T T"
Er -3.438 -8.064 3.349
Ho -2.447 -4.271 2.438
Ni -0.710 -2.715 0.652
Ni -2.832 -10.834 2.604
Tl -0.001 -0.003 0.001
```

Record 2
DFT (GGA-PBE) results for a relaxed CuH8C5N3Cl3 crystal.

The structure in extended XYZ format:
```
40
Lattice="-2.642 2.918 -0.189 -6.682 -5.581 5.577 3.164 4.332 9.913" Properties=species:S:1:pos:R:3 pbc="T T T"
C -5.767 -4.202 5.333
C -5.053 -2.897 5.389
C -3.584 -1.401 4.392
C -5.264 -2.019 6.466
C -4.596 -0.820 6.456
C -1.564 2.490 8.845
C -0.896 3.688 8.835
C -2.576 3.070 10.909
C -1.107 4.566 9.912
C -0.393 5.871 9.968
Cl -1.417 1.848 3.064
Cl -3.216 2.448 5.971
Cl -6.920 -0.742 9.133
Cl 0.759 2.411 6.169
Cl -2.944 -0.779 9.330
Cl -4.743 -0.179 12.237
Cu -1.771 3.466 4.593
Cu -4.389 -1.797 10.708
H -2.682 1.463 0.727
H -7.772 -2.072 4.723
H -2.625 -1.755 2.627
H -6.114 -4.493 6.331
H -2.249 -0.181 3.410
H -5.922 -2.282 7.289
H -3.290 0.403 5.448
H -4.682 -0.071 7.243
H -1.478 1.740 8.058
H -2.870 1.266 9.853
H -0.238 3.951 8.012
H -3.911 1.850 11.891
H -0.046 6.162 8.970
H -3.535 3.424 12.674
H 1.612 3.741 10.578
H -3.478 0.206 14.574
N -4.231 -2.588 4.375
N -2.755 -1.081 3.409
N -3.770 -0.526 5.428
N -2.390 2.195 9.874
N -3.406 2.750 11.892
N -1.929 4.257 10.926
```

Record 3
DFT (GGA-PBE) results for a relaxed GaSi2Ir2 crystal.

The structure in extended XYZ format:
```
5
Lattice="5.193 1.666 1.307 0.715 2.611 4.912 -2.456 -4.702 -1.819" Properties=species:S:1:pos:R:3 pbc="T T T"
Ga 0.000 0.000 0.000
Ir 2.846 -0.449 1.299
Ir 0.607 0.024 3.101
Si 2.229 1.613 2.346
Si 3.680 2.664 3.873
```

Record 4
DFT (GGA-PBE) results for a relaxed ZrBeW crystal.

Results
- ΔE to the lowest computed polymorph (meV per atom) = 0.0

The structure in extended XYZ format:
```
3
Lattice="0.000 2.926 2.926 2.926 0.000 2.926 2.926 2.926 0.000" Properties=species:S:1:pos:R:3 pbc="T T T"
Be 0.000 0.000 0.000
W 1.463 1.463 1.463
Zr 4.388 4.388 4.388
```

no.,E_tot (eV for the cell shown),calculated volume (A^3/atom)
1,-25.08,20.3
2,-224.55,11.4
3,-33.31,16.3
4,-23.92,16.7